# La2CdIr GGA-PBE optimized geometry
data_La2CdIr
_space_group_name_H-M_alt 'P 1'
_space_group_IT_number 1
_space_group_name_Hall 'P 1'
_cell_length_a 3.5629
_cell_length_b 3.5629
_cell_length_c 8.7968
_cell_angle_alpha 90.00
_cell_angle_beta 90.00
_cell_angle_gamma 90.00
loop_
_atom_site_label
_atom_site_fract_x
_atom_site_fract_y
_atom_site_fract_z
_atom_site_occupancy
La1 0.0000 0.0000 0.0000 1
La2 0.5000 0.5000 0.3911 1
Cd1 0.0000 0.0000 0.6419 1
Ir1 0.5000 0.5000 0.8219 1
# Size of the total moment (μB/atom): 0.00
# E (Ha/atom): -0.18707
# E_form (kJ/mol of atoms): -17.6



# PuPaCd4 GGA-PBE optimized geometry
data_PuPaCd4
_space_group_name_H-M_alt 'P 1'
_space_group_IT_number 1
_space_group_name_Hall 'P 1'
_cell_length_a 5.8895
_cell_length_b 5.8895
_cell_length_c 5.8895
_cell_angle_alpha 60.00
_cell_angle_beta 60.00
_cell_angle_gamma 60.00
loop_
_atom_site_label
_atom_site_fract_x
_atom_site_fract_y
_atom_site_fract_z
_atom_site_occupancy
Pu1 0.0000 0.0000 0.0000 1
Pa1 0.2500 0.2500 0.2500 1
Cd1 0.1251 0.6250 0.6250 1
Cd2 0.6250 0.1251 0.6250 1
Cd3 0.6250 0.6250 0.1251 1
Cd4 0.6250 0.6250 0.6250 1
# Size of the total moment (μB/atom): 1.25
# E (Ha/atom): -0.16577
# E_form (kJ/mol of atoms): 6.8



# KRbAsSe2 GGA-PBE optimized geometry
data_KRbAsSe2
_space_group_name_H-M_alt 'P 1'
_space_group_IT_number 1
_space_group_name_Hall 'P 1'
_cell_length_a 5.9912
_cell_length_b 5.9912
_cell_length_c 6.0657
_cell_angle_alpha 90.00
_cell_angle_beta 90.00
_cell_angle_gamma 90.00
loop_
_atom_site_label
_atom_site_fract_x
_atom_site_fract_y
_atom_site_fract_z
_atom_site_occupancy
K1 0.0000 0.0000 0.0000 1
Rb1 0.5000 0.5000 0.5000 1
As1 0.0000 0.0000 0.5000 1
Se1 0.0000 0.5000 0.0000 1
Se2 0.5000 0.0000 0.0000 1
# Size of the total moment (μB/atom): 0.60
# E_form (uncorrected) (eV/atom): 0.349
# E (Ha/atom): -0.08776
# Offset from the most stable computed form (meV per atom): 880



# Zr2MnTe GGA-PBE optimized geometry
data_Zr2MnTe
_space_group_name_H-M_alt 'P 1'
_space_group_IT_number 1
_space_group_name_Hall 'P 1'
_cell_length_a 3.6835
_cell_length_b 3.6835
_cell_length_c 6.1920
_cell_angle_alpha 90.00
_cell_angle_beta 90.00
_cell_angle_gamma 90.00
loop_
_atom_site_label
_atom_site_fract_x
_atom_site_fract_y
_atom_site_fract_z
_atom_site_occupancy
Zr1 0.0000 0.0000 0.0000 1
Zr2 0.5000 0.5000 0.2811 1
Mn1 0.0000 0.0000 0.4979 1
Te1 0.5000 0.5000 0.7644 1
# Size of the total moment (μB/atom): 0.67
# E_form (uncorrected) (eV/atom): -0.237
# E (Ha/atom): -0.27890



# PmTm4Si4 GGA-PBE optimized geometry
data_PmTm4Si4
_space_group_name_H-M_alt 'P 1'
_space_group_IT_number 1
_space_group_name_Hall 'P 1'
_cell_length_a 9.1051
_cell_length_b 9.1051
_cell_length_c 5.6424
_cell_angle_alpha 90.00
_cell_angle_beta 90.00
_cell_angle_gamma 90.00
loop_
_atom_site_label
_atom_site_fract_x
_atom_site_fract_y
_atom_site_fract_z
_atom_site_occupancy
Pm1 0.2500 0.2500 0.2500 1
Pm2 0.7500 0.7500 0.7500 1
Tm1 0.0982 0.6428 0.1286 1
Tm2 0.1428 0.9018 0.6286 1
Tm3 0.3572 0.5982 0.6286 1
Tm4 0.4018 0.8572 0.1286 1
Tm5 0.5982 0.1428 0.8714 1
Tm6 0.6428 0.4018 0.3714 1
Tm7 0.8572 0.0982 0.3714 1
Tm8 0.9018 0.3572 0.8714 1
Si1 0.0417 0.5972 0.6337 1
Si2 0.0972 0.9583 0.1337 1
Si3 0.4028 0.5417 0.1337 1
Si4 0.4583 0.9028 0.6337 1
Si5 0.5417 0.0972 0.3663 1
Si6 0.5972 0.4583 0.8663 1
Si7 0.9028 0.0417 0.8663 1
Si8 0.9583 0.4028 0.3663 1
# Size of the total moment (μB/atom): 0.00
# E_form (uncorrected) (eV/atom): -0.477
# E (Ha/atom): -0.19855



# GdLuZn GGA-PBE optimized geometry
data_GdLuZn
_space_group_name_H-M_alt 'P 1'
_space_group_IT_number 1
_space_group_name_Hall 'P 1'
_cell_length_a 4.9593
_cell_length_b 4.9593
_cell_length_c 3.6403
_cell_angle_alpha 90.00
_cell_angle_beta 90.00
_cell_angle_gamma 120.00
loop_
_atom_site_label
_atom_site_fract_x
_atom_site_fract_y
_atom_site_fract_z
_atom_site_occupancy
Gd1 0.0000 0.0000 0.0000 1
Lu1 0.3333 0.6667 0.4718 1
Zn1 0.6667 0.3333 0.6368 1
# Size of the total moment (μB/atom): 2.47
# E (Ha/atom): -0.24543
# Offset from the most stable computed form (meV per atom): 163
# E_form (kJ/mol of atoms): -5.1



# ScP2WCl GGA-PBE optimized geometry
data_ScP2WCl
_space_group_name_H-M_alt 'P 1'
_space_group_IT_number 1
_space_group_name_Hall 'P 1'
_cell_length_a 4.6913
_cell_length_b 4.6913
_cell_length_c 4.8318
_cell_angle_alpha 90.00
_cell_angle_beta 90.00
_cell_angle_gamma 90.00
loop_
_atom_site_label
_atom_site_fract_x
_atom_site_fract_y
_atom_site_fract_z
_atom_site_occupancy
Sc1 0.0000 0.0000 0.0000 1
P1 0.0000 0.5000 0.5000 1
P2 0.5000 0.0000 0.5000 1
W1 0.5000 0.5000 0.5000 1
Cl1 0.5000 0.5000 0.0000 1
# Size of the total moment (μB/atom): 0.14
# E_form (uncorrected) (eV/atom): 0.132
# E (Ha/atom): -0.22998
# Offset from the most stable computed form (meV per atom): 0



# LaAl3Ge GGA-PBE optimized geometry
data_LaAl3Ge
_space_group_name_H-M_alt 'P 1'
_space_group_IT_number 1
_space_group_name_Hall 'P 1'
_cell_length_a 4.2835
_cell_length_b 4.2835
_cell_length_c 6.4380
_cell_angle_alpha 109.21
_cell_angle_beta 109.21
_cell_angle_gamma 90.07
loop_
_atom_site_label
_atom_site_fract_x
_atom_site_fract_y
_atom_site_fract_z
_atom_site_occupancy
La1 0.0000 0.0000 0.0000 1
Al1 0.2492 0.7488 0.4996 1
Al2 0.6182 0.6182 0.2358 1
Al3 0.7488 0.2492 0.4996 1
Ge1 0.3912 0.3912 0.7837 1
# Size of the total moment (μB/atom): 0.00
# E (Ha/atom): -0.16721
# Offset from the most stable computed form (meV per atom): 0
# E_form (kJ/mol of atoms): -38.2



# BaTiBi2 GGA-PBE optimized geometry
data_BaTiBi2
_space_group_name_H-M_alt 'P 1'
_space_group_IT_number 1
_space_group_name_Hall 'P 1'
_cell_length_a 7.2461
_cell_length_b 7.2461
_cell_length_c 7.2461
_cell_angle_alpha 109.43
_cell_angle_beta 109.43
_cell_angle_gamma 109.56
loop_
_atom_site_label
_atom_site_fract_x
_atom_site_fract_y
_atom_site_fract_z
_atom_site_occupancy
Ba1 0.0000 0.0000 0.0000 1
Ba2 0.7500 0.2500 0.5000 1
Ti1 0.2500 0.7500 0.5000 1
Ti2 0.5000 0.5000 0.0000 1
Bi1 0.1953 0.6250 0.0703 1
Bi2 0.3750 0.4453 0.5703 1
Bi3 0.5547 0.1250 0.9297 1
Bi4 0.8750 0.8047 0.4297 1
# Size of the total moment (μB/atom): 0.02
# E (Ha/atom): -0.17077
# Offset from the most stable computed form (meV per atom): 155
# E_form (kJ/mol of atoms): -24.3



# In4AuS3 GGA-PBE optimized geometry
data_In4AuS3
_space_group_name_H-M_alt 'P 1'
_space_group_IT_number 1
_space_group_name_Hall 'P 1'
_cell_length_a 8.1739
_cell_length_b 8.8616
_cell_length_c 5.9432
_cell_angle_alpha 90.00
_cell_angle_beta 90.00
_cell_angle_gamma 90.00
loop_
_atom_site_label
_atom_site_fract_x
_atom_site_fract_y
_atom_site_fract_z
_atom_site_occupancy
In1 0.0000 0.0993 0.0000 1
In2 0.0000 0.8046 0.4768 1
In3 0.2100 0.3493 0.4738 1
In4 0.2900 0.6507 0.9738 1
In5 0.5000 0.1954 0.9768 1
In6 0.5000 0.9007 0.5000 1
In7 0.7100 0.6507 0.9738 1
In8 0.7900 0.3493 0.4738 1
Au1 0.0000 0.1069 0.5117 1
Au2 0.5000 0.8931 0.0117 1
S1 0.0000 0.7605 0.0368 1
S2 0.2470 0.3658 0.0312 1
S3 0.2530 0.6342 0.5312 1
S4 0.5000 0.2395 0.5368 1
S5 0.7470 0.6342 0.5312 1
S6 0.7530 0.3658 0.0312 1
# Size of the total moment (μB/atom): 0.00
# E_form (uncorrected) (eV/atom): -0.349
# E (Ha/atom): -0.13508



# FeHgW GGA-PBE optimized geometry
data_FeHgW
_space_group_name_H-M_alt 'P 1'
_space_group_IT_number 1
_space_group_name_Hall 'P 1'
_cell_length_a 2.9428
_cell_length_b 2.9428
_cell_length_c 6.6711
_cell_angle_alpha 90.00
_cell_angle_beta 90.00
_cell_angle_gamma 120.00
loop_
_atom_site_label
_atom_site_fract_x
_atom_site_fract_y
_atom_site_fract_z
_atom_site_occupancy
Fe1 0.0000 0.0000 0.0000 1
Hg1 0.6667 0.3333 0.3462 1
W1 0.3333 0.6667 0.7300 1
# Size of the total moment (μB/atom): 0.62
# E (Ha/atom): -0.24539
# Offset from the most stable computed form (meV per atom): 285
# E_form (kJ/mol of atoms): 54.2



# ZrCuNi2Au GGA-PBE optimized geometry
data_ZrCuNi2Au
_space_group_name_H-M_alt 'P 1'
_space_group_IT_number 1
_space_group_name_Hall 'P 1'
_cell_length_a 4.6735
_cell_length_b 4.6735
_cell_length_c 5.0447
_cell_angle_alpha 90.00
_cell_angle_beta 90.00
_cell_angle_gamma 90.00
loop_
_atom_site_label
_atom_site_fract_x
_atom_site_fract_y
_atom_site_fract_z
_atom_site_occupancy
Zr1 0.0000 0.0000 0.0000 1
Cu1 0.5000 0.5000 0.0000 1
Ni1 0.0000 0.5000 0.5000 1
Ni2 0.5000 0.0000 0.5000 1
Au1 0.0000 0.0000 0.5000 1
# Size of the total moment (μB/atom): 0.28
# E (Ha/atom): -0.15999
# E_form (kJ/mol of atoms): 110.3